A geometry-optimized Ho2ErFe6Co2Ni structure. Source: the Open Quantum Materials Database, functional PBE.

Properties
ΔE_f: -132 meV/atom
SG: No. 166
Crystal system: trigonal
Size of the total moment: 15.5 μB/cell
Total energy: -84.9 eV/f.u.

Cell: 8.6762 8.6762 8.6762 Å, 33.32 33.32 33.32°
With the nearest neighbours (Å) after each atom.
Sites, in units of the cell vectors:
Fe1 0.5822 0.5822 0.0792  2 Co 2.44-2.47, 4 Fe 2.47-2.50, 1 Ni 2.55
Co1 0.6671 0.6671 0.6671  6 Fe 2.44-2.47
Ho1 0.1417 0.1417 0.1417  9 Fe 2.90-3.07, 3 Ni 2.94, 3 Ho 3.12
Ho2 0.8583 0.8583 0.8583  9 Fe 2.90-3.07, 3 Ni 2.94, 3 Ho 3.12
Fe2 0.4178 0.9208 0.4178  2 Co 2.44-2.47, 4 Fe 2.47-2.50, 1 Ni 2.55
Er1 0.0000 0.0000 0.0000  6 Co 2.87, 12 Fe 3.19
Fe3 0.5822 0.0792 0.5822  2 Co 2.44-2.47, 4 Fe 2.47-2.50, 1 Ni 2.55
Fe4 0.9208 0.4178 0.4178  2 Co 2.44-2.47, 4 Fe 2.47-2.50, 1 Ni 2.55
Co2 0.3329 0.3329 0.3329  6 Fe 2.44-2.47
Ni1 0.5000 0.5000 0.5000  6 Fe 2.55
Fe5 0.0792 0.5822 0.5822  2 Co 2.44-2.47, 4 Fe 2.47-2.50, 1 Ni 2.55
Fe6 0.4178 0.4178 0.9208  2 Co 2.44-2.47, 4 Fe 2.47-2.50, 1 Ni 2.55

A geometry-optimized HoEr2Fe2Co6Ni structure. Source: the Open Quantum Materials Database, functional PBE.

Properties
ΔE_f: -214 meV/atom
SG: No. 166
Crystal system: trigonal
Size of the total moment: 11.4 μB/cell
Total energy: -81.1 eV/f.u.

Cell: 8.5182 8.5182 8.5182 Å, 33.91 33.91 33.91°
With the nearest neighbours (Å) after each atom.
Sites, in units of the cell vectors:
Fe1 0.6658 0.6658 0.6658  6 Co 2.42-2.44
Er1 0.1401 0.1401 0.1401  9 Co 2.86-3.05, 3 Ni 2.94, 3 Er 3.14
Co1 0.5824 0.5824 0.0791  2 Fe 2.42-2.44, 4 Co 2.47-2.50, 1 Ni 2.51
Fe2 0.3342 0.3342 0.3342  6 Co 2.42-2.44
Co2 0.0791 0.5824 0.5824  2 Fe 2.42-2.44, 4 Co 2.47-2.50, 1 Ni 2.51
Co3 0.4176 0.4176 0.9209  2 Fe 2.42-2.44, 4 Co 2.47-2.50, 1 Ni 2.51
Er2 0.8599 0.8599 0.8599  9 Co 2.86-3.05, 3 Ni 2.94, 3 Er 3.14
Co4 0.5824 0.0791 0.5824  2 Fe 2.42-2.44, 4 Co 2.47-2.50, 1 Ni 2.51
Ni1 0.5000 0.5000 0.5000  6 Co 2.51
Co5 0.4176 0.9209 0.4176  2 Fe 2.42-2.44, 4 Co 2.47-2.50, 1 Ni 2.51
Co6 0.9209 0.4176 0.4176  2 Fe 2.42-2.44, 4 Co 2.47-2.50, 1 Ni 2.51
Ho1 0.0000 0.0000 0.0000  6 Fe 2.87, 12 Co 3.16

A geometry-optimized Ho2ErFe6CoNi2 structure. Source: the Open Quantum Materials Database, functional PBE.

Properties
ΔE_f: -162 meV/atom
SG: No. 166
Crystal system: trigonal
Size of the total moment: 14.1 μB/cell
Total energy: -83.8 eV/f.u.

Cell: 8.6932 8.6932 8.6932 Å, 33.21 33.21 33.21°
With the nearest neighbours (Å) after each atom.
Sites, in units of the cell vectors:
Fe1 0.9181 0.4176 0.4176  2 Ni 2.47-2.49, 4 Fe 2.48-2.49, 1 Co 2.53
Ho1 0.1417 0.1417 0.1417  9 Fe 2.88-3.05, 3 Co 2.93, 3 Ho 3.12
Fe2 0.0819 0.5824 0.5824  2 Ni 2.47-2.49, 4 Fe 2.48-2.49, 1 Co 2.53
Fe3 0.5824 0.5824 0.0819  2 Ni 2.47-2.49, 4 Fe 2.48-2.49, 1 Co 2.53
Ho2 0.8583 0.8583 0.8583  9 Fe 2.88-3.05, 3 Co 2.93, 3 Ho 3.12
Fe4 0.4176 0.9181 0.4176  2 Ni 2.47-2.49, 4 Fe 2.48-2.49, 1 Co 2.53
Ni1 0.6671 0.6671 0.6671  6 Fe 2.47-2.49
Co1 0.5000 0.5000 0.5000  6 Fe 2.53
Er1 0.0000 0.0000 0.0000  6 Ni 2.87, 12 Fe 3.20
Ni2 0.3329 0.3329 0.3329  6 Fe 2.47-2.49
Fe5 0.5824 0.0819 0.5824  2 Ni 2.47-2.49, 4 Fe 2.48-2.49, 1 Co 2.53
Fe6 0.4176 0.4176 0.9181  2 Ni 2.47-2.49, 4 Fe 2.48-2.49, 1 Co 2.53

A geometry-optimized HoEr2Fe6Co2Ni structure. Source: the Open Quantum Materials Database, functional PBE.

Properties
ΔE_f: -140 meV/atom
SG: No. 166
Crystal system: trigonal
Size of the total moment: 15.5 μB/cell
Total energy: -85.0 eV/f.u.

Cell: 8.6608 8.6608 8.6608 Å, 33.40 33.40 33.40°
With the nearest neighbours (Å) after each atom.
Sites, in units of the cell vectors:
Fe1 0.5823 0.5823 0.0800  2 Co 2.45-2.47, 4 Fe 2.48-2.50, 1 Ni 2.54
Fe2 0.4177 0.9200 0.4177  2 Co 2.45-2.47, 4 Fe 2.48-2.50, 1 Ni 2.54
Er1 0.1419 0.1419 0.1419  9 Fe 2.90-3.05, 3 Ni 2.94, 3 Er 3.12
Er2 0.8581 0.8581 0.8581  9 Fe 2.90-3.05, 3 Ni 2.94, 3 Er 3.12
Fe3 0.4177 0.4177 0.9200  2 Co 2.45-2.47, 4 Fe 2.48-2.50, 1 Ni 2.54
Fe4 0.0800 0.5823 0.5823  2 Co 2.45-2.47, 4 Fe 2.48-2.50, 1 Ni 2.54
Fe5 0.5823 0.0800 0.5823  2 Co 2.45-2.47, 4 Fe 2.48-2.50, 1 Ni 2.54
Fe6 0.9200 0.4177 0.4177  2 Co 2.45-2.47, 4 Fe 2.48-2.50, 1 Ni 2.54
Ni1 0.5000 0.5000 0.5000  6 Fe 2.54
Co1 0.6669 0.6669 0.6669  6 Fe 2.45-2.47
Co2 0.3331 0.3331 0.3331  6 Fe 2.45-2.47
Ho1 0.0000 0.0000 0.0000  6 Co 2.87, 12 Fe 3.19

A geometry-optimized Ho2ErFeCo6Ni2 structure. Source: the Open Quantum Materials Database, functional PBE.

Properties
ΔE_f: -228 meV/atom
SG: No. 166
Crystal system: trigonal
Size of the total moment: 9.7 μB/cell
Total energy: -78.5 eV/f.u.

Cell: 8.5397 8.5397 8.5397 Å, 33.69 33.69 33.69°
With the nearest neighbours (Å) after each atom.
Sites, in units of the cell vectors:
Fe1 0.5000 0.5000 0.5000  6 Co 2.49
Co1 0.4168 0.4168 0.9198  2 Ni 2.44-2.45, 4 Co 2.46-2.49, 1 Fe 2.49
Ni1 0.6665 0.6665 0.6665  6 Co 2.44-2.45
Co2 0.5832 0.0802 0.5832  2 Ni 2.44-2.45, 4 Co 2.46-2.49, 1 Fe 2.49
Co3 0.9198 0.4168 0.4168  2 Ni 2.44-2.45, 4 Co 2.46-2.49, 1 Fe 2.49
Co4 0.0802 0.5832 0.5832  2 Ni 2.44-2.45, 4 Co 2.46-2.49, 1 Fe 2.49
Ho1 0.1390 0.1390 0.1390  9 Co 2.83-3.06, 3 Fe 2.93, 3 Ho 3.15
Co5 0.4168 0.9198 0.4168  2 Ni 2.44-2.45, 4 Co 2.46-2.49, 1 Fe 2.49
Co6 0.5832 0.5832 0.0802  2 Ni 2.44-2.45, 4 Co 2.46-2.49, 1 Fe 2.49
Er1 0.0000 0.0000 0.0000  6 Ni 2.86, 12 Co 3.17
Ni2 0.3335 0.3335 0.3335  6 Co 2.44-2.45
Ho2 0.8610 0.8610 0.8610  9 Co 2.83-3.06, 3 Fe 2.93, 3 Ho 3.15

A geometry-optimized HoEr2FeCo2Ni6 structure. Source: the Open Quantum Materials Database, functional PBE.

Properties
ΔE_f: -302 meV/atom
SG: No. 166
Crystal system: trigonal
Size of the total moment: 6.4 μB/cell
Total energy: -73.3 eV/f.u.

Cell: 8.5220 8.5220 8.5220 Å, 33.80 33.80 33.80°
With the nearest neighbours (Å) after each atom.
Sites, in units of the cell vectors:
Er1 0.1386 0.1386 0.1386  9 Ni 2.82-3.06, 3 Fe 2.94
Ni1 0.5826 0.5826 0.0823  2 Co 2.45, 4 Ni 2.48, 1 Fe 2.48
Ni2 0.5826 0.0823 0.5826  2 Co 2.45, 4 Ni 2.48, 1 Fe 2.48
Co1 0.3335 0.3335 0.3335  6 Ni 2.45
Ni3 0.4174 0.9177 0.4174  2 Co 2.45, 4 Ni 2.48, 1 Fe 2.48
Ni4 0.0823 0.5826 0.5826  2 Co 2.45, 4 Ni 2.48, 1 Fe 2.48
Er2 0.8614 0.8614 0.8614  9 Ni 2.82-3.06, 3 Fe 2.94
Ni5 0.4174 0.4174 0.9177  2 Co 2.45, 4 Ni 2.48, 1 Fe 2.48
Co2 0.6665 0.6665 0.6665  6 Ni 2.45
Ni6 0.9177 0.4174 0.4174  2 Co 2.45, 4 Ni 2.48, 1 Fe 2.48
Fe1 0.5000 0.5000 0.5000  6 Ni 2.48
Ho1 0.0000 0.0000 0.0000  6 Co 2.86, 12 Ni 3.18

A geometry-optimized HoEr2FeCo6Ni2 structure. Source: the Open Quantum Materials Database, functional PBE.

Properties
ΔE_f: -239 meV/atom
SG: No. 166
Crystal system: trigonal
Size of the total moment: 9.8 μB/cell
Total energy: -78.7 eV/f.u.

Cell: 8.5378 8.5378 8.5378 Å, 33.73 33.73 33.73°
With the nearest neighbours (Å) after each atom.
Sites, in units of the cell vectors:
Co1 0.4160 0.9203 0.4160  2 Ni 2.45-2.46, 4 Co 2.46-2.50, 1 Fe 2.49
Er1 0.1392 0.1392 0.1392  9 Co 2.83-3.04, 3 Fe 2.94, 3 Er 3.15
Fe1 0.5000 0.5000 0.5000  6 Co 2.49
Ni1 0.6662 0.6662 0.6662  6 Co 2.45-2.46
Co2 0.0797 0.5840 0.5840  2 Ni 2.45-2.46, 4 Co 2.46-2.50, 1 Fe 2.49
Co3 0.5840 0.5840 0.0797  2 Ni 2.45-2.46, 4 Co 2.46-2.50, 1 Fe 2.49
Co4 0.5840 0.0797 0.5840  2 Ni 2.45-2.46, 4 Co 2.46-2.50, 1 Fe 2.49
Co5 0.4160 0.4160 0.9203  2 Ni 2.45-2.46, 4 Co 2.46-2.50, 1 Fe 2.49
Er2 0.8608 0.8608 0.8608  9 Co 2.83-3.04, 3 Fe 2.94, 3 Er 3.15
Co6 0.9203 0.4160 0.4160  2 Ni 2.45-2.46, 4 Co 2.46-2.50, 1 Fe 2.49
Ni2 0.3338 0.3338 0.3338  6 Co 2.45-2.46
Ho1 0.0000 0.0000 0.0000  6 Ni 2.86, 12 Co 3.18

A geometry-optimized ErLu2Fe2Co7 structure. Source: the Open Quantum Materials Database, functional PBE.

Properties
ΔE_f: -234 meV/atom
SG: No. 166
Crystal system: trigonal
Size of the total moment: 12.8 μB/cell
Total energy: -82.8 eV/f.u.

Cell: 8.3836 8.3836 8.3836 Å, 34.66 34.66 34.66°
With the nearest neighbours (Å) after each atom.
Sites, in units of the cell vectors:
Er1 0.0000 0.0000 0.0000  6 Fe 2.88, 12 Co 3.17
Co1 0.5852 0.5852 0.0782  2 Fe 2.42-2.44, 5 Co 2.46-2.53
Co2 0.4148 0.4148 0.9218  2 Fe 2.42-2.44, 5 Co 2.46-2.53
Co3 0.0782 0.5852 0.5852  2 Fe 2.42-2.44, 5 Co 2.46-2.53
Co4 0.4148 0.9218 0.4148  2 Fe 2.42-2.44, 5 Co 2.46-2.53
Fe1 0.3347 0.3347 0.3347  6 Co 2.42-2.44
Co5 0.5852 0.0782 0.5852  2 Fe 2.42-2.44, 5 Co 2.46-2.53
Lu1 0.8590 0.8590 0.8590  12 Co 2.85-2.95, 3 Lu 3.13
Co6 0.9218 0.4148 0.4148  2 Fe 2.42-2.44, 5 Co 2.46-2.53
Lu2 0.1410 0.1410 0.1410  12 Co 2.85-2.95, 3 Lu 3.13
Co7 0.5000 0.5000 0.5000  6 Co 2.46
Fe2 0.6653 0.6653 0.6653  6 Co 2.42-2.44

A geometry-optimized Er2LuFeCo8 structure. Source: the Open Quantum Materials Database, functional PBE.

Properties
ΔE_f: -206 meV/atom
SG: No. 166
Crystal system: trigonal
Size of the total moment: 11.8 μB/cell
Total energy: -81.3 eV/f.u.

Cell: 8.4699 8.4699 8.4699 Å, 34.04 34.04 34.04°
With the nearest neighbours (Å) after each atom.
Sites, in units of the cell vectors:
Lu1 0.0000 0.0000 0.0000  18 Co 2.86-3.16
Co1 0.4165 0.9217 0.4165  6 Co 2.41-2.51, 1 Fe 2.49
Fe1 0.5000 0.5000 0.5000  6 Co 2.49
Co2 0.5835 0.0783 0.5835  6 Co 2.41-2.51, 1 Fe 2.49
Co3 0.6657 0.6657 0.6657  6 Co 2.41-2.43
Co4 0.4165 0.4165 0.9217  6 Co 2.41-2.51, 1 Fe 2.49
Er1 0.8607 0.8607 0.8607  9 Co 2.84-3.03, 3 Fe 2.94, 3 Er 3.15
Co5 0.5835 0.5835 0.0783  6 Co 2.41-2.51, 1 Fe 2.49
Co6 0.3343 0.3343 0.3343  6 Co 2.41-2.43
Co7 0.0783 0.5835 0.5835  6 Co 2.41-2.51, 1 Fe 2.49
Co8 0.9217 0.4165 0.4165  6 Co 2.41-2.51, 1 Fe 2.49
Er2 0.1393 0.1393 0.1393  9 Co 2.84-3.03, 3 Fe 2.94, 3 Er 3.15

A geometry-optimized ErLu2Fe6Co3 structure. Source: the Open Quantum Materials Database, functional PBE.

Properties
ΔE_f: -172 meV/atom
SG: No. 166
Crystal system: trigonal
Size of the total moment: 16.3 μB/cell
Total energy: -86.9 eV/f.u.

Cell: 8.5465 8.5465 8.5465 Å, 34.01 34.01 34.01°
With the nearest neighbours (Å) after each atom.
Sites, in units of the cell vectors:
Er1 0.0000 0.0000 0.0000  6 Co 2.89, 12 Fe 3.20
Fe1 0.0812 0.5833 0.5833  3 Co 2.45-2.49, 4 Fe 2.49-2.51
Co1 0.5000 0.5000 0.5000  6 Fe 2.49
Lu1 0.1423 0.1423 0.1423  9 Fe 2.88-2.99, 3 Co 2.95, 3 Lu 3.12
Fe2 0.4167 0.4167 0.9188  3 Co 2.45-2.49, 4 Fe 2.49-2.51
Lu2 0.8577 0.8577 0.8577  9 Fe 2.88-2.99, 3 Co 2.95, 3 Lu 3.12
Co2 0.3328 0.3328 0.3328  6 Fe 2.45-2.48
Fe3 0.5833 0.5833 0.0812  3 Co 2.45-2.49, 4 Fe 2.49-2.51
Co3 0.6672 0.6672 0.6672  6 Fe 2.45-2.48
Fe4 0.5833 0.0812 0.5833  3 Co 2.45-2.49, 4 Fe 2.49-2.51
Fe5 0.4167 0.9188 0.4167  3 Co 2.45-2.49, 4 Fe 2.49-2.51
Fe6 0.9188 0.4167 0.4167  3 Co 2.45-2.49, 4 Fe 2.49-2.51